Pr2Ga7Rh after structural relaxation, computed with PBE-GGA. Values from VASP.

## Properties
* ΔE_f: -0.56 eV per atom
* calculated volume: 19.744 Å³ per atom
* spin magnetization: 0.000 μB per cell
* symmetry: P-4m2, No. 115

Structure (Quantum ESPRESSO input):
```
&SYSTEM
  ibrav = 0, nat = 10, ntyp = 3
/
ATOMIC_SPECIES
Pr 140.91 Pr.upf
Ga 69.72 Ga.upf
Rh 102.91 Rh.upf
CELL_PARAMETERS angstrom
4.269 0.000 0.000
0.000 4.269 0.000
0.000 0.000 10.836
ATOMIC_POSITIONS angstrom
Pr 0.000 2.134 2.666
Pr 2.134 0.000 8.170
Ga 0.000 0.000 0.000
Ga 0.000 0.000 5.418
Ga 0.000 2.134 6.945
Ga 0.000 2.134 9.459
Ga 2.134 0.000 1.377
Ga 2.134 0.000 3.891
Ga 2.134 2.134 5.418
Rh 2.134 2.134 0.000
```